No. 1
## BaAl2TeS6 (GGA-PBE)

Data for a relaxed BaAl2TeS6 crystal.

Properties
magnetic moment = 0.00 μB/f.u.
energy relative to the elements, uncorrected = -86 kJ/mol of atoms

a = 9.207 Å, b = 9.207 Å, c = 7.052 Å
α = 109.49°, β = 109.49°, γ = 84.62°
Fractional coordinates of all 20 atoms:
Ba  0.157  0.843  0.750
Ba  0.843  0.157  0.250
Al  0.145  0.326  0.828
Al  0.326  0.145  0.328
Al  0.674  0.855  0.672
Al  0.855  0.674  0.172
Te  0.269  0.731  0.250
Te  0.731  0.269  0.750
S  0.081  0.573  0.317
S  0.131  0.193  0.045
S  0.193  0.131  0.545
S  0.311  0.534  0.944
S  0.427  0.919  0.183
S  0.466  0.689  0.556
S  0.534  0.311  0.444
S  0.573  0.081  0.817
S  0.689  0.466  0.056
S  0.807  0.869  0.455
S  0.869  0.807  0.955
S  0.919  0.427  0.683

=====

No. 2
## KCaPuBr6 (GGA-PBE)

Data for a relaxed KCaPuBr6 crystal.

Properties
magnetic moment = 5.00 μB/f.u.
energy relative to the elements, uncorrected = -170 kJ/mol of atoms

a = 7.558 Å, b = 7.558 Å, c = 14.291 Å
α = 90.00°, β = 90.00°, γ = 120.00°
Fractional coordinates of all 18 atoms:
K  0.000  0.000  0.000
K  0.000  0.000  0.500
Ca  0.333  0.667  0.250
Ca  0.667  0.333  0.750
Pu  0.333  0.667  0.750
Pu  0.667  0.333  0.250
Br  0.003  0.367  0.636
Br  0.003  0.636  0.864
Br  0.364  0.367  0.864
Br  0.364  0.997  0.636
Br  0.367  0.003  0.136
Br  0.367  0.364  0.364
Br  0.633  0.636  0.636
Br  0.633  0.997  0.864
Br  0.636  0.003  0.364
Br  0.636  0.633  0.136
Br  0.997  0.364  0.136
Br  0.997  0.633  0.364